This record from Alexandria describes a relaxed Mn2InPb crystal. The functional is PBE-GGA.

## Properties
D(E_F) (states/eV/f.u.): 4.073
Formation energy (eV/atom): 0.42
Energy above the lowest structure with this stoichiometry (meV per atom): 141.0

a b c (Å): 3.2968 4.6404 5.3533
angles (deg): 90.00 98.63 90.00
With the nearest neighbours (Å) after each atom.
Space group Pm (No. 6)
Unique sites:
Mn: 0.0000 0.0000 0.0000 x1  4 In 2.87-2.94, 2 Mn 2.91, 3 Pb 2.92-3.09
Mn: 0.0432 0.5000 0.3316 x1  3 In 2.82-3.09, 2 Mn 2.91, 4 Pb 2.93-2.96
In: 0.4568 0.5000 0.8901 x1  7 Mn 2.82-3.09
Pb: 0.5677 0.0000 0.4745 x1  7 Mn 2.92-3.09